A plane-wave DFT calculation with PBE was carried out for a relaxed structure of Fe2Sb3.

Summary:
As for the crystal system: trigonal.

Structure (POSCAR):
```
Fe2Sb3
1.0
5.454 3.386 0.529
-5.255 1.830 3.245
5.080 -2.567 3.280
Fe Sb
4 6
Direct
0.330 0.670 0.009
0.170 0.830 0.491
0.830 0.170 0.509
0.670 0.330 0.991
0.250 0.097 0.250
0.903 0.403 0.250
0.597 0.750 0.250
0.403 0.250 0.750
0.097 0.597 0.750
0.750 0.903 0.750
```

***

A plane-wave DFT calculation with PBE was carried out for a relaxed structure of K4Cu8Te11.

Summary:
As for the crystal system: monoclinic.

Structure (POSCAR):
```
K4Cu8Te11
1.0
-3.538 -10.764 -5.483
3.152 -10.169 -6.716
3.226 1.454 18.212
Cu K Te
16 8 22
Direct
0.986 0.605 0.112
0.605 0.986 0.112
0.788 0.197 0.163
0.197 0.788 0.163
0.679 0.064 0.382
0.064 0.679 0.382
0.886 0.272 0.442
0.272 0.886 0.442
0.728 0.114 0.558
0.114 0.728 0.558
0.936 0.321 0.618
0.321 0.936 0.618
0.803 0.212 0.837
0.212 0.803 0.837
0.395 0.014 0.888
0.014 0.395 0.888
0.146 0.146 0.027
0.626 0.626 0.169
0.436 0.436 0.278
0.250 0.250 0.413
0.750 0.750 0.587
0.564 0.564 0.722
0.374 0.374 0.831
0.854 0.854 0.973
0.301 0.301 0.032
0.432 0.432 0.060
0.043 0.043 0.095
0.910 0.910 0.189
0.483 0.061 0.226
0.061 0.483 0.226
0.804 0.385 0.319
0.385 0.804 0.319
0.964 0.964 0.374
0.811 0.811 0.443
0.433 0.433 0.481
0.567 0.567 0.519
0.189 0.189 0.557
0.036 0.036 0.626
0.615 0.196 0.681
0.196 0.615 0.681
0.939 0.517 0.774
0.517 0.939 0.774
0.090 0.090 0.811
0.957 0.957 0.905
0.568 0.568 0.940
0.699 0.699 0.968
```

***

A plane-wave DFT calculation with PBE was carried out for a relaxed structure of NdDyGa2Pd4.

Summary:
As for the crystal system: hexagonal.

Structure (POSCAR):
```
NdDyGa2Pd4
1.0
4.430 0.000 0.000
-2.215 3.836 0.000
0.000 0.000 9.198
Dy Ga Nd Pd
1 2 1 4
Direct
0.000 0.000 0.000
0.667 0.333 0.246
0.667 0.333 0.754
0.333 0.667 0.500
0.333 0.667 0.165
0.000 0.000 0.322
0.000 0.000 0.678
0.333 0.667 0.835
```

***

Number 1: E -5.79 eV per atom. Number 2: E -3.35 eV per atom. Number 3: E -5.38 eV per atom.